A relaxed structure of NdGaOs. Source: Alexandria via LeMat-Bulk, functional GGA-PBE.

abc: 4.9092 4.4294 6.5208
angles: 90.00 90.00 90.00
Last column: nearest neighbours and their distance in Å.
Space group Pmma (No. 51)
Unique sites:
1 Nd 0.2500 0.0000 0.2472  4 Os 3.00
2 Ga 0.2500 0.5000 0.6427  2 Os 2.63
3 Os 0.0000 0.5000 0.0000  2 Os 2.45, 2 Ga 2.63

Calculated values
As for the crystal system: orthorhombic. The formation energy comes out at -45 kJ/mol of formula units.